TlCoC4O4: optimized geometry, GGA+U.

a = 8.7624 Å, b = 8.7624 Å, c = 8.7624 Å
α = 90.00°, β = 90.00°, γ = 90.00°
Closest atoms and distances in Å follow each position.
Element x y z (fractional)
1 Tl 0.1870 0.3130 0.6870  3 O 3.06, 6 C 3.24-3.38
2 Tl 0.3130 0.6870 0.1870  3 O 3.06, 6 C 3.24-3.38
3 Tl 0.6870 0.1870 0.3130  3 O 3.06, 6 C 3.24-3.38
4 Tl 0.8130 0.8130 0.8130  3 O 3.06, 6 C 3.24-3.38
5 Co 0.1972 0.6972 0.8028  4 C 1.75
6 Co 0.3028 0.3028 0.3028  4 C 1.75
7 Co 0.6972 0.8028 0.1972  4 C 1.75
8 Co 0.8028 0.1972 0.6972  4 C 1.75
9 C 0.0822 0.5822 0.9178  1 O 1.17
10 C 0.1096 0.3507 0.3114  1 O 1.17
11 C 0.1493 0.6886 0.6096  1 O 1.17
12 C 0.1886 0.8904 0.8507  1 O 1.17
13 C 0.3114 0.1096 0.3507  1 O 1.17
14 C 0.3507 0.3114 0.1096  1 O 1.17
15 C 0.3904 0.6493 0.8114  1 O 1.17
16 C 0.4178 0.4178 0.4178  1 O 1.17
17 C 0.5822 0.9178 0.0822  1 O 1.17
18 C 0.6096 0.1493 0.6886  1 O 1.17
19 C 0.6493 0.8114 0.3904  1 O 1.17
20 C 0.6886 0.6096 0.1493  1 O 1.17
21 C 0.8114 0.3904 0.6493  1 O 1.17
22 C 0.8507 0.1886 0.8904  1 O 1.17
23 C 0.8904 0.8507 0.1886  1 O 1.17
24 C 0.9178 0.0822 0.5822  1 O 1.17
25 O 0.0049 0.5049 0.9951  1 C 1.17
26 O 0.0209 0.8776 0.1833  1 C 1.17
27 O 0.1224 0.6833 0.4791  1 C 1.17
28 O 0.1833 0.0209 0.8776  1 C 1.17
29 O 0.3167 0.9791 0.3776  1 C 1.17
30 O 0.3776 0.3167 0.9791  1 C 1.17
31 O 0.4791 0.1224 0.6833  1 C 1.17
32 O 0.4951 0.4951 0.4951  1 C 1.17
33 O 0.5049 0.9951 0.0049  1 C 1.17
34 O 0.5209 0.6224 0.8167  1 C 1.17
35 O 0.6224 0.8167 0.5209  1 C 1.17
36 O 0.6833 0.4791 0.1224  1 C 1.17
37 O 0.8167 0.5209 0.6224  1 C 1.17
38 O 0.8776 0.1833 0.0209  1 C 1.17
39 O 0.9791 0.3776 0.3167  1 C 1.17
40 O 0.9951 0.0049 0.5049  1 C 1.17

Size of the total moment: 0.000 μB/cell
Space group: P2_13
Crystal system: cubic
Electronic total energy: -6.94 eV/atom